Version a
DFT (PBE with a Hubbard U) results for an optimized crystal structure of VSeBr2F.

Cell: 5.5960 5.5960 3.9198 Å, 90.00 90.00 90.00°
With the nearest neighbours (Å) after each atom.
Positions (direct):
V: 0.0000 0.0000 0.0000  8 Br 3.42
Se: 0.5000 0.5000 0.0000  2 F 1.96
Br: 0.0000 0.5000 0.5000  2 F 2.80
Br: 0.5000 0.0000 0.5000  2 F 2.80
F: 0.5000 0.5000 0.5000  2 Se 1.96

Properties
The density of states at the Fermi level is 0.7082 states/eV per atom. For the volume, the calculation gives 122.7 Å³ per cell. The space-group type is P4/mmm.

=====

Version b
DFT (PBE with a Hubbard U) results for an optimized crystal structure of VSeBr2F.

Cell: 4.9500 4.9500 4.7292 Å, 90.00 90.00 90.00°
With the nearest neighbours (Å) after each atom.
Positions (direct):
V: 0.0000 0.0000 0.0000  2 Se 2.36, 4 Br 2.47
Se: 0.0000 0.0000 0.5000  2 V 2.36
Br: 0.0000 0.5000 0.0000  2 V 2.47
Br: 0.5000 0.0000 0.0000  2 V 2.47
F: 0.5000 0.5000 0.5000  8 Br 3.42, 4 Se 3.50

Properties
The density of states at the Fermi level is 1.4030 states/eV per atom. For the volume, the calculation gives 115.9 Å³ per cell. The space-group type is P4/mmm.

=====

Which of them is the least stable? Correct choice: version a.

=====

Version a
DFT (PBE with a Hubbard U) results for an optimized crystal structure of VSe2BrF.

Cell: 4.7402 4.7402 4.9754 Å, 90.00 90.00 90.00°
With the nearest neighbours (Å) after each atom.
Positions (direct):
V: 0.0000 0.0000 0.0000  4 Se 2.37, 2 Br 2.49
Se: 0.0000 0.5000 0.0000  2 V 2.37
Se: 0.5000 0.0000 0.0000  2 V 2.37
Br: 0.0000 0.0000 0.5000  2 V 2.49
F: 0.5000 0.5000 0.5000  4 Br 3.35, 8 Se 3.44

Properties
The density of states at the Fermi level is 1.2643 states/eV per atom. For the volume, the calculation gives 111.8 Å³ per cell. The space-group type is P4/mmm.

=====

Version b
DFT (PBE with a Hubbard U) results for an optimized crystal structure of VSe2BrF.

Cell: 4.3485 4.3485 5.9294 Å, 90.00 90.00 90.00°
With the nearest neighbours (Å) after each atom.
Positions (direct):
V: 0.0000 0.0000 0.0000  4 Br 3.07
Se: 0.0000 0.5000 0.5000  2 F 2.17
Se: 0.5000 0.0000 0.5000  2 F 2.17
Br: 0.5000 0.5000 0.0000  2 F 2.96, 4 V 3.07
F: 0.5000 0.5000 0.5000  4 Se 2.17

Properties
The density of states at the Fermi level is 0.5664 states/eV per atom. For the volume, the calculation gives 112.1 Å³ per cell. The space-group type is P4/mmm.

=====

Which of them is the least stable? Correct choice: version b.

=====

Version a
DFT (PBE with a Hubbard U) results for an optimized crystal structure of WSeBr2F.

Cell: 5.6102 5.6102 3.9187 Å, 90.00 90.00 90.00°
With the nearest neighbours (Å) after each atom.
Positions (direct):
W: 0.0000 0.0000 0.0000  8 Br 3.42
Se: 0.5000 0.5000 0.0000  2 F 1.96
Br: 0.0000 0.5000 0.5000  2 F 2.81
Br: 0.5000 0.0000 0.5000  2 F 2.81
F: 0.5000 0.5000 0.5000  2 Se 1.96

Properties
The density of states at the Fermi level is 0.4965 states/eV per atom. For the volume, the calculation gives 123.3 Å³ per cell. The space-group type is P4/mmm.

=====

Version b
DFT (PBE with a Hubbard U) results for an optimized crystal structure of WSeBr2F.

Cell: 5.2444 5.2444 5.0443 Å, 90.00 90.00 90.00°
With the nearest neighbours (Å) after each atom.
Positions (direct):
W: 0.0000 0.0000 0.0000  2 Se 2.52, 4 Br 2.62
Se: 0.0000 0.0000 0.5000  2 W 2.52
Br: 0.0000 0.5000 0.0000  2 W 2.62
Br: 0.5000 0.0000 0.0000  2 W 2.62
F: 0.5000 0.5000 0.5000  8 Br 3.64, 4 Se 3.71

Properties
The density of states at the Fermi level is 1.2384 states/eV per atom. For the volume, the calculation gives 138.7 Å³ per cell. The space-group type is P4/mmm.

=====

Which of them is the least stable? Correct choice: version a.

=====

Version a
DFT (PBE with a Hubbard U) results for an optimized crystal structure of WSe2BrF.

Cell: 4.3693 4.3693 6.0602 Å, 90.00 90.00 90.00°
With the nearest neighbours (Å) after each atom.
Positions (direct):
W: 0.0000 0.0000 0.0000  4 Br 3.09
Se: 0.0000 0.5000 0.5000  2 F 2.18
Se: 0.5000 0.0000 0.5000  2 F 2.18
Br: 0.5000 0.5000 0.0000  2 F 3.03, 4 W 3.09
F: 0.5000 0.5000 0.5000  4 Se 2.18

Properties
The density of states at the Fermi level is 0.6465 states/eV per atom. For the volume, the calculation gives 115.7 Å³ per cell. The space-group type is P4/mmm.

=====

Version b
DFT (PBE with a Hubbard U) results for an optimized crystal structure of WSe2BrF.

Cell: 4.8824 4.8824 5.1202 Å, 90.00 90.00 90.00°
With the nearest neighbours (Å) after each atom.
Positions (direct):
W: 0.0000 0.0000 0.0000  4 Se 2.44, 2 Br 2.56
Se: 0.0000 0.5000 0.0000  2 W 2.44
Se: 0.5000 0.0000 0.0000  2 W 2.44
Br: 0.0000 0.0000 0.5000  2 W 2.56
F: 0.5000 0.5000 0.5000  4 Br 3.45, 8 Se 3.54

Properties
The density of states at the Fermi level is 0.6931 states/eV per atom. For the volume, the calculation gives 122.1 Å³ per cell. The space-group type is P4/mmm.

=====

Which of them is the least stable? Correct choice: version a.